No. 1
{"formula": "CaTcSe2", "functional": "GGA-PBE", "state": "relaxed", "lattice_angstrom": [[4.915, -0.064, -0.118], [0.262, 4.908, 0.118], [-1.915, -3.142, 3.261]], "species": ["Ca", "Tc", "Se", "Se"], "fractional_positions": [[0.250, 0.750, 0.500], [0.750, 0.250, 0.500], [0.962, 0.962, 0.000], [0.538, 0.538, 0.000]], "e_form_raw_ev_per_atom": -0.517, "spacegroup": "Immm, No. 71", "magnetic_moment_mub_per_atom": 0.00}

***

No. 2
{"formula": "NaPS2Cl", "functional": "GGA-PBE", "state": "relaxed", "lattice_angstrom": [[-4.371, -1.932, 1.482], [2.133, -4.507, 0.416], [1.106, 0.937, 4.482]], "species": ["Cl", "Na", "S", "P", "S"], "fractional_positions": [[0.000, 0.000, 0.500], [0.000, 0.000, 0.000], [0.000, 0.500, 0.000], [0.500, 0.500, 0.500], [0.500, 0.000, 0.000]], "e_form_raw_ev_per_atom": 1.005, "spacegroup": "P4/mmm, No. 123", "magnetic_moment_mub_per_atom": 0.26}

***

No. 3
{"formula": "PbBr5", "functional": "GGA-PBE", "state": "relaxed", "lattice_angstrom": [[-1.292, 3.039, 5.960], [-1.858, -5.166, -4.036], [5.058, -4.446, 3.364]], "species": ["Br", "Br", "Br", "Br", "Br", "Pb"], "fractional_positions": [[0.682, 0.318, 0.000], [0.220, 0.780, 0.500], [0.349, 0.651, 0.000], [0.525, 0.475, 0.500], [0.018, 0.982, 0.000], [0.873, 0.127, 0.500]], "e_form_raw_ev_per_atom": -0.174, "spacegroup": "Amm2, No. 38", "magnetic_moment_mub_per_atom": 0.00}

***

No. 4
{"formula": "As2Au", "functional": "GGA-PBE", "state": "relaxed", "lattice_angstrom": [[-2.472, 2.056, -2.605], [-4.667, -1.543, 3.211], [1.259, 9.806, 6.543]], "species": ["Au", "Au", "As", "Au", "As", "As", "As", "As", "Au", "As", "As", "As"], "fractional_positions": [[0.750, 0.293, 0.628], [0.250, 0.707, 0.372], [0.250, 0.052, 0.857], [0.750, 0.793, 0.872], [0.750, 0.963, 0.353], [0.250, 0.537, 0.853], [0.750, 0.463, 0.147], [0.250, 0.552, 0.643], [0.250, 0.207, 0.128], [0.750, 0.448, 0.357], [0.250, 0.037, 0.647], [0.750, 0.948, 0.143]], "spacegroup": "Pnma, No. 62", "magnetic_moment_mub_per_atom": 0.00, "e_form_ev_per_fu": 0.104}